The following is a DFT calculation (PBE) of a relaxed Ca2DyHg crystal.

```
Ca2DyHg
1.0
-0.501 -3.333 -4.047
1.504 -3.608 2.785
-4.535 -0.891 1.295
Ca Hg Dy
2 1 1
Direct
0.000 0.000 0.500
0.000 0.500 0.000
0.500 0.000 0.000
0.500 0.500 0.500
```

## Properties
Space-group type   No. 123
DOS(E_F)   6.45 states/eV/cell
Final energy   -2.35 eV per atom
Spin magnetization   0.00 μB per formula unit
V   121 Å³ per cell
E_form   -0.48 eV/f.u.
Calculated density   6.1 Mg/m³
Energy relative to the lowest polymorph listed for this composition   1.9 kJ per mole of atoms